No. 1
The following is a PBE calculation of an optimized crystal structure of PrDy3Co, from Alexandria via LeMat-Bulk.

Properties
polymorph energy (0 for the lowest one): 0.063 eV/atom
M_tot: 0.59 Bohr magnetons per cell
D(E_F): 8.47 states/eV/f.u.
DFT formation energy: -0.026 eV per atom
final energy: -5.16 eV/atom

a = 5.309 Å, b = 5.309 Å, c = 5.309 Å
α = 90.00°, β = 90.00°, γ = 90.00°
Space group Pm-3m (No. 221)
Unique sites:
Pr 0.000 0.000 0.000 x1
Dy 0.000 0.500 0.500 x3
Co 0.500 0.500 0.500 x1

---

No. 2
The following is a PBE calculation of an optimized crystal structure of Pa3ZnH, from Alexandria via LeMat-Bulk.

Properties
M_tot: 0.00 Bohr magnetons per cell
D(E_F): 8.45 states/eV/f.u.
final energy: -6.62 eV/atom

a = 4.586 Å, b = 4.586 Å, c = 4.586 Å
α = 90.00°, β = 90.00°, γ = 90.00°
Space group Pm-3m (No. 221)
Unique sites:
Pa 0.000 0.000 0.500 x3
Zn 0.500 0.500 0.500 x1
H 0.000 0.000 0.000 x1

---

No. 3
The following is a PBE calculation of an optimized crystal structure of Sb2Te, from Alexandria via LeMat-Bulk.

Properties
E_form (uncorrected): 201 meV/atom
polymorph energy (0 for the lowest one): 0.267 eV/atom
M_tot: 0.00 Bohr magnetons per cell
D(E_F): 2.29 states/eV/f.u.
final energy: -3.59 eV/atom

a = 4.488 Å, b = 4.488 Å, c = 4.883 Å
α = 90.00°, β = 90.00°, γ = 90.00°
Space group P4/mmm (No. 123)
Unique sites:
Sb 0.000 0.500 0.000 x2
Te 0.000 0.000 0.500 x1

---

No. 4
The following is a PBE calculation of an optimized crystal structure of Si2NiIr, from Alexandria via LeMat-Bulk.

Properties
E_form (uncorrected): 70 meV/atom
M_tot: 0.00 Bohr magnetons per cell
D(E_F): 2.04 states/eV/f.u.
final energy: -6.30 eV/atom

a = 5.953 Å, b = 5.953 Å, c = 5.953 Å
α = 90.00°, β = 90.00°, γ = 90.00°
Space group F-43m (No. 216)
Unique sites:
Si 0.000 0.000 0.000 x4
Si 0.250 0.250 0.250 x4
Ni 0.000 0.000 0.500 x4
Ir 0.250 0.250 0.750 x4

---

No. 5
The following is a PBE calculation of an optimized crystal structure of Sr4AlZn4, from Alexandria via LeMat-Bulk.

Properties
M_tot: 0.00 Bohr magnetons per cell
D(E_F): 5.16 states/eV/f.u.
DFT formation energy: -0.084 eV per atom
final energy: -1.81 eV/atom

a = 9.779 Å, b = 9.779 Å, c = 5.766 Å
α = 90.00°, β = 90.00°, γ = 90.00°
Space group P4_2/n (No. 86, origin choice 2)
Unique sites:
Sr 0.062 0.847 0.151 x8
Al 0.250 0.250 0.750 x2
Zn 0.101 0.184 0.373 x8

---

No. 6
The following is a PBE calculation of an optimized crystal structure of Th2ZrBi3, from Alexandria via LeMat-Bulk.

Properties
M_tot: 0.00 Bohr magnetons per cell
D(E_F): 5.27 states/eV/f.u.
DFT formation energy: -0.395 eV per atom
final energy: -6.23 eV/atom

a = 4.540 Å, b = 6.382 Å, c = 13.261 Å
α = 90.00°, β = 90.00°, γ = 90.00°
Space group Immm (No. 71)
Unique sites:
Th 0.000 0.000 0.174 x4
Zr 0.000 0.000 0.500 x2
Bi 0.000 0.500 0.153 x4
Bi 0.000 0.500 0.500 x2

---

No. 7
The following is a PBE calculation of an optimized crystal structure of NdCuO2, from Alexandria via LeMat-Bulk.

Properties
E_form (uncorrected): -2261 meV/atom
M_tot: 0.00 Bohr magnetons per cell
D(E_F): 0.00 states/eV/f.u.
final energy: -6.96 eV/atom

a = 3.7582 Å, b = 3.7582 Å, c = 17.1565 Å
α = 90.00°, β = 90.00°, γ = 120.00°
Space group R-3m (No. 166, hexagonal axes)
Unique sites:
Nd 0.0000 0.0000 0.0000 x3
Cu 0.0000 0.0000 0.5000 x3
O 0.0000 0.0000 0.3939 x6

---

No. 8
The following is a PBE calculation of an optimized crystal structure of K2LaSe, from Alexandria via LeMat-Bulk.

Properties
E_form (uncorrected): -712 meV/atom
M_tot: 0.05 Bohr magnetons per cell
D(E_F): 4.49 states/eV/f.u.
final energy: -3.36 eV/atom

a = 4.064 Å, b = 4.384 Å, c = 21.715 Å
α = 90.00°, β = 90.00°, γ = 90.00°
Space group Immm (No. 71)
Unique sites:
K 0.000 0.000 0.164 x4
La 0.000 0.500 0.000 x2
Se 0.000 0.500 0.500 x2

---

Question: Among the records above, which one has the highest D(E_F)?
Answer: PrDy3Co

---

Question: Number 1 is which compound?
Answer: PrDy3Co